## KZnSe2 (PBE-GGA)

Data for a relaxed structure of KZnSe2.

As for the formation energy from raw total energies: -0.66 eV per atom. The value obtained for the total energy is -2.998 eV/atom.

```
4
Lattice="4.9495 0.0000 0.0000 0.0000 3.8691 0.0000 -0.0113 0.0000 6.2370" Properties=species:S:1:pos:R:3 pbc="T T T"
K 0.0000 0.0000 0.0000
Zn 2.4691 0.0000 3.1185
Se 2.4740 1.9346 1.4971
Se 2.4643 1.9346 4.7399
```

## AlZnTe2 (PBE-GGA)

Data for a relaxed structure of AlZnTe2.

As for the formation energy from raw total energies: 0.11 eV per atom. The value obtained for the total energy is -2.717 eV/atom.

```
4
Lattice="1.9334 -2.6318 0.0000 1.9334 2.6318 0.0000 0.0000 0.0000 9.9481" Properties=species:S:1:pos:R:3 pbc="T T T"
Al 0.0000 0.0000 0.0000
Zn 1.9334 0.0000 1.8430
Te 0.0000 0.0000 4.0090
Te 1.9334 0.0000 7.8400
```

## BaCr10S16 (PBE-GGA)

Data for a relaxed structure of BaCr10S16.

As for the formation energy from raw total energies: -0.83 eV per atom. The value obtained for the total energy is -6.906 eV/atom.

```
27
Lattice="6.9427 0.0000 0.0000 -1.7400 9.0138 0.0000 -3.4662 -2.3075 8.3585" Properties=species:S:1:pos:R:3 pbc="T T T"
Ba 0.0000 0.0000 0.0000
Cr -1.7331 -1.1538 4.1792
Cr -3.4727 1.7715 6.9757
Cr -1.7363 4.9411 4.4318
Cr 0.0025 1.7519 3.9395
Cr 1.7301 4.9814 1.3823
Cr 1.7382 -1.1538 4.1792
Cr 0.0064 1.7249 6.9761
Cr 1.7339 4.9544 4.4190
Cr 3.4728 1.7652 3.9267
Cr 5.2092 4.9348 1.3828
S -3.4763 5.9454 5.6518
S -1.7380 6.8152 2.9326
S -0.0161 5.9110 0.1048
S -1.7376 2.7724 5.4754
S -0.0035 3.9361 2.8844
S -1.7479 0.8200 8.2633
S 0.0017 -0.1013 5.4105
S 1.7337 0.7607 2.7067
S 0.0028 5.9456 5.6518
S 1.7348 6.8076 2.9480
S 3.4844 5.8863 0.0952
S 1.7400 2.7702 5.4741
S 3.4741 3.9339 2.8831
S 1.7525 0.7953 8.2537
S 3.4745 -0.1089 5.4258
S 5.2127 0.7609 2.7067
```

| no. | total magnetic moment (μB/f.u.) |
| --- | --- |
| 1 | 0.0 |
| 2 | 0.0 |
| 3 | 30.0 |